one) {
  "formula": "RuWBr",
  "functional": "GGA-PBE",
  "state": "relaxed",
  "lattice": [[4.349, 0.000, 0.000], [-2.174, 3.766, 0.000], [0.000, 0.000, 2.959]],
  "species": ["Ru", "W", "Br"],
  "frac_coords": [[0.000, 0.000, 0.000], [0.667, 0.333, 0.500], [0.333, 0.667, 0.500]],
  "crystal_system": "hexagonal",
  "magnetic_moment_mub_per_fu": 0.0,
  "vol_a3_per_cell": 48.5
}

***

two) {
  "formula": "RuWBr",
  "functional": "GGA-PBE",
  "state": "relaxed",
  "lattice": [[0.000, 2.637, 6.631], [1.615, 0.000, 6.631], [1.615, 2.637, 0.000]],
  "species": ["Ru", "W", "Br"],
  "frac_coords": [[0.000, 0.000, 0.000], [0.633, 0.633, 0.367], [0.304, 0.304, 0.696]],
  "crystal_system": "orthorhombic",
  "magnetic_moment_mub_per_fu": 0.0,
  "vol_a3_per_cell": 56.5
}

***

three) {
  "formula": "RuWBr",
  "functional": "GGA-PBE",
  "state": "relaxed",
  "lattice": [[3.000, 0.000, 0.000], [-1.500, 2.598, 0.000], [0.000, 0.000, 6.482]],
  "species": ["Ru", "W", "Br"],
  "frac_coords": [[0.000, 0.000, 0.000], [0.333, 0.667, 0.303], [0.667, 0.333, 0.627]],
  "crystal_system": "trigonal",
  "magnetic_moment_mub_per_fu": 0.0,
  "vol_a3_per_cell": 50.5
}

***

three) is the most stable structure; the next one sits 0.253 eV/atom above it.

***

one) {
  "formula": "RuWBr",
  "functional": "GGA-PBE",
  "state": "relaxed",
  "lattice": [[0.000, 3.040, 3.040], [3.040, 0.000, 3.040], [3.040, 3.040, 0.000]],
  "species": ["Ru", "W", "Br"],
  "frac_coords": [[0.000, 0.000, 0.000], [0.250, 0.250, 0.250], [0.500, 0.500, 0.500]],
  "crystal_system": "cubic",
  "magnetic_moment_mub_per_fu": 0.0,
  "vol_a3_per_cell": 56.2
}

***

two) {
  "formula": "RuWBr",
  "functional": "GGA-PBE",
  "state": "relaxed",
  "lattice": [[-1.503, 1.503, 5.663], [1.503, -1.503, 5.663], [1.503, 1.503, -5.663]],
  "species": ["Ru", "W", "Br"],
  "frac_coords": [[0.000, 0.000, 0.000], [0.364, 0.364, 0.000], [0.697, 0.697, 0.000]],
  "crystal_system": "tetragonal",
  "magnetic_moment_mub_per_fu": 0.0,
  "vol_a3_per_cell": 51.2
}

***

two) is the most stable structure; the next one sits 0.514 eV/atom above it.

***

one) {
  "formula": "Ru3WBr",
  "functional": "GGA-PBE",
  "state": "relaxed",
  "lattice": [[4.792, 0.000, 0.000], [0.000, 4.792, 0.000], [0.000, 0.000, 4.792]],
  "species": ["Ru", "Ru", "Ru", "W", "Br"],
  "frac_coords": [[0.000, 0.000, 0.500], [0.000, 0.500, 0.000], [0.500, 0.000, 0.000], [0.000, 0.000, 0.000], [0.500, 0.500, 0.500]],
  "crystal_system": "cubic",
  "magnetic_moment_mub_per_fu": 3.7,
  "vol_a3_per_cell": 110.0
}

***

two) {
  "formula": "Ru3WBr",
  "functional": "GGA-PBE",
  "state": "relaxed",
  "lattice": [[4.477, 0.000, 0.000], [0.000, 4.477, 0.000], [0.000, 0.000, 4.477]],
  "species": ["Ru", "Ru", "Ru", "W", "Br"],
  "frac_coords": [[0.000, 0.000, 0.500], [0.000, 0.500, 0.000], [0.500, 0.000, 0.000], [0.500, 0.500, 0.500], [0.000, 0.000, 0.000]],
  "crystal_system": "cubic",
  "magnetic_moment_mub_per_fu": 0.0,
  "vol_a3_per_cell": 89.7
}

***

one) is the most stable structure; the next one sits 0.197 eV/atom above it.

***

one) {
  "formula": "RuW3Br",
  "functional": "GGA-PBE",
  "state": "relaxed",
  "lattice": [[4.538, 0.000, 0.000], [0.000, 4.538, 0.000], [0.000, 0.000, 4.538]],
  "species": ["Ru", "W", "W", "W", "Br"],
  "frac_coords": [[0.000, 0.000, 0.000], [0.000, 0.500, 0.500], [0.500, 0.000, 0.500], [0.500, 0.500, 0.000], [0.500, 0.500, 0.500]],
  "crystal_system": "cubic",
  "magnetic_moment_mub_per_fu": 0.0,
  "vol_a3_per_cell": 93.4
}

***

two) {
  "formula": "RuW3Br",
  "functional": "GGA-PBE",
  "state": "relaxed",
  "lattice": [[4.772, 0.000, 0.000], [0.000, 4.772, 0.000], [0.000, 0.000, 4.772]],
  "species": ["Ru", "W", "W", "W", "Br"],
  "frac_coords": [[0.000, 0.000, 0.000], [0.000, 0.000, 0.500], [0.000, 0.500, 0.000], [0.500, 0.000, 0.000], [0.500, 0.500, 0.500]],
  "crystal_system": "cubic",
  "magnetic_moment_mub_per_fu": 0.0,
  "vol_a3_per_cell": 108.6
}

***

two) is the most stable structure; the next one sits 0.162 eV/atom above it.

***

one) {
  "formula": "YRu2Br",
  "functional": "GGA-PBE",
  "state": "relaxed",
  "lattice": [[3.330, 0.000, 0.000], [0.000, 4.850, 0.000], [-0.087, 0.000, 4.782]],
  "species": ["Y", "Ru", "Ru", "Br"],
  "frac_coords": [[0.000, 0.000, 0.000], [0.382, 0.500, 0.757], [0.618, 0.500, 0.243], [0.500, 0.000, 0.500]],
  "crystal_system": "monoclinic",
  "magnetic_moment_mub_per_fu": 0.0,
  "vol_a3_per_cell": 77.2
}

***

two) {
  "formula": "YRu2Br",
  "functional": "GGA-PBE",
  "state": "relaxed",
  "lattice": [[3.770, 0.000, 0.000], [0.000, 3.770, 0.000], [0.000, 0.000, 5.455]],
  "species": ["Y", "Ru", "Ru", "Br"],
  "frac_coords": [[0.000, 0.000, 0.000], [0.000, 0.500, 0.500], [0.500, 0.000, 0.500], [0.500, 0.500, 0.000]],
  "crystal_system": "tetragonal",
  "magnetic_moment_mub_per_fu": 0.0,
  "vol_a3_per_cell": 77.5
}

***

one) is the most stable structure; the next one sits 0.107 eV/atom above it.

***

one) {
  "formula": "YRu2Br",
  "functional": "GGA-PBE",
  "state": "relaxed",
  "lattice": [[3.303, 0.000, 0.000], [0.000, 4.406, 0.000], [0.000, 0.000, 5.713]],
  "species": ["Y", "Ru", "Ru", "Br"],
  "frac_coords": [[0.000, 0.000, 0.000], [0.500, 0.500, 0.203], [0.500, 0.500, 0.797], [0.000, 0.000, 0.500]],
  "crystal_system": "orthorhombic",
  "magnetic_moment_mub_per_fu": 0.4,
  "vol_a3_per_cell": 83.1
}

***

two) {
  "formula": "YRu2Br",
  "functional": "GGA-PBE",
  "state": "relaxed",
  "lattice": [[1.613, 0.931, 8.465], [-1.613, 0.931, 8.465], [0.000, -1.863, 8.465]],
  "species": ["Y", "Ru", "Ru", "Br"],
  "frac_coords": [[0.000, 0.000, 0.000], [0.246, 0.246, 0.246], [0.754, 0.754, 0.754], [0.500, 0.500, 0.500]],
  "crystal_system": "trigonal",
  "magnetic_moment_mub_per_fu": 0.0,
  "vol_a3_per_cell": 76.3
}

***

three) {
  "formula": "YRu2Br",
  "functional": "GGA-PBE",
  "state": "relaxed",
  "lattice": [[3.170, 0.000, 0.000], [0.000, 4.700, 0.000], [0.000, 0.000, 4.822]],
  "species": ["Y", "Ru", "Ru", "Br"],
  "frac_coords": [[0.000, 0.000, 0.000], [0.000, 0.500, 0.500], [0.500, 0.500, 0.000], [0.500, 0.000, 0.500]],
  "crystal_system": "orthorhombic",
  "magnetic_moment_mub_per_fu": 0.0,
  "vol_a3_per_cell": 71.9
}

***

four) {
  "formula": "YRu2Br",
  "functional": "GGA-PBE",
  "state": "relaxed",
  "lattice": [[1.989, 1.149, 7.095], [-1.989, 1.149, 7.095], [0.000, -2.297, 7.095]],
  "species": ["Y", "Ru", "Ru", "Br"],
  "frac_coords": [[0.000, 0.000, 0.000], [0.252, 0.252, 0.252], [0.556, 0.556, 0.556], [0.757, 0.757, 0.757]],
  "crystal_system": "trigonal",
  "magnetic_moment_mub_per_fu": 0.0,
  "vol_a3_per_cell": 97.3
}

***

four) is the most stable structure; the next one sits 0.444 eV/atom above it.